Compound: CaPuRu
Source: Alexandria
Functional: PBE
Structure: optimized geometry

Results
N(E_F) = 2.421 states/eV/atom
E_form = 0.0249 eV/atom
calculated volume = 24.6 Å³/atom

Cell: 3.3958 3.3958 12.7911 Å, 90.00 90.00 90.00°
With the nearest neighbours (Å) after each atom.
Space group I4mm (No. 107)
Asymmetric unit:
Ca1 0.0000 0.0000 0.0000 [2 per cell]  4 Ru 3.12, 4 Ca 3.40, 1 Pu 3.40
Pu1 0.0000 0.0000 0.2657 [2 per cell]  4 Ru 2.79
Ru1 0.0000 0.0000 0.6553 [2 per cell]  4 Pu 2.79, 4 Ca 3.12

---

Compound: CaPuRu
Source: Alexandria
Functional: PBE
Structure: optimized geometry

Results
N(E_F) = 2.251 states/eV/atom
E_form = -0.0299 eV/atom
calculated volume = 27.3 Å³/atom

Cell: 3.8984 6.0661 6.9302 Å, 90.00 90.16 90.00°
With the nearest neighbours (Å) after each atom.
Space group Pm (No. 6)
Asymmetric unit:
Ca1 0.0000 0.0000 0.0000 [1 per cell]  4 Ru 3.23-3.24, 4 Pu 3.38-3.47
Ca2 0.4966 0.5000 0.2983 [1 per cell]  2 Ru 3.15
Pu1 0.9950 0.0000 0.5012 [1 per cell]  4 Ru 2.75
Pu2 0.9965 0.5000 0.7851 [1 per cell]  4 Ru 2.61
Ru1 0.4963 0.2359 0.6891 [2 per cell]  4 Pu 2.61-2.75, 1 Ru 2.86

---

Compound: CaPuRu
Source: Alexandria
Functional: PBE
Structure: optimized geometry

Results
N(E_F) = 1.632 states/eV/atom
E_form = 0.0776 eV/atom
calculated volume = 28.4 Å³/atom

Cell: 7.1996 4.1463 11.6580 Å, 90.00 101.73 90.00°
With the nearest neighbours (Å) after each atom.
Space group C2/m (No. 12)
Asymmetric unit:
Ca1 0.1156 0.0000 0.3519 [4 per cell]  3 Ru 3.06
Pu1 0.1998 0.5000 0.1029 [4 per cell]  3 Ru 2.57
Ru1 0.1062 0.5000 0.8150 [4 per cell]  3 Pu 2.57

---

Compound: CaPu5S6
Source: Alexandria
Functional: PBE
Structure: optimized geometry

Results
N(E_F) = 3.342 states/eV/atom
formation energy (no corrections) = -1.797 eV/atom
calculated volume = 22.3 Å³/atom

Cell: 6.8920 11.9377 6.8958 Å, 90.00 109.45 90.00°
With the nearest neighbours (Å) after each atom.
Space group C2/m (No. 12)
Asymmetric unit:
Ca1 0.0000 0.0000 0.0000 [2 per cell]  6 S 2.84
Pu1 0.0000 0.1659 0.5000 [4 per cell]  6 S 2.80-2.82
Pu2 0.0000 0.3333 0.0000 [4 per cell]  6 S 2.81
Pu3 0.0000 0.5000 0.5000 [2 per cell]  6 S 2.79-2.82
S1 0.2474 0.5000 0.2515 [4 per cell]  5 Pu 2.79-2.81, 1 Ca 2.84
S2 0.2478 0.3318 0.7480 [8 per cell]  5 Pu 2.80-2.82, 1 Ca 2.84

---

Compound: CaPu4S5
Source: Alexandria
Functional: PBE
Structure: optimized geometry

Results
N(E_F) = 3.404 states/eV/atom
formation energy (no corrections) = -1.812 eV/atom
calculated volume = 22.3 Å³/atom

Cell: 3.9752 3.9752 28.2018 Å, 90.00 90.00 90.00°
With the nearest neighbours (Å) after each atom.
Space group I4/mmm (No. 139)
Asymmetric unit:
Ca1 0.0000 0.0000 0.0000 [2 per cell]  6 S 2.81-2.84
Pu1 0.0000 0.0000 0.2006 [4 per cell]  6 S 2.80-2.81
Pu2 0.0000 0.0000 0.3991 [4 per cell]  6 S 2.79-2.85
S1 0.0000 0.0000 0.1008 [4 per cell]  5 Pu 2.81, 1 Ca 2.84
S2 0.0000 0.0000 0.3000 [4 per cell]  6 Pu 2.79-2.81
S3 0.0000 0.0000 0.5000 [2 per cell]  4 Ca 2.81, 2 Pu 2.85

---

Compound: Ca2PuS3
Source: Alexandria
Functional: PBE
Structure: optimized geometry

Results
N(E_F) = 1.834 states/eV/atom
formation energy (no corrections) = -1.954 eV/atom
calculated volume = 23.1 Å³/atom

Cell: 4.0282 5.6808 12.0907 Å, 90.00 90.00 90.00°
With the nearest neighbours (Å) after each atom.
Space group Immm (No. 71)
Asymmetric unit:
Ca1 0.0000 0.0000 0.1674 [4 per cell]  6 S 2.84-2.86
Pu1 0.0000 0.0000 0.5000 [2 per cell]  6 S 2.83-2.84
S1 0.0000 0.5000 0.1647 [4 per cell]  2 Pu 2.83, 4 Ca 2.84-2.86
S2 0.0000 0.5000 0.5000 [2 per cell]  2 Pu 2.84, 4 Ca 2.86

---

Compound: CaPu3S4
Source: Alexandria
Functional: PBE
Structure: optimized geometry

Results
N(E_F) = 2.824 states/eV/atom
formation energy (no corrections) = -1.823 eV/atom
calculated volume = 22.3 Å³/atom

Cell: 7.9664 11.2628 3.9835 Å, 90.00 90.00 90.00°
With the nearest neighbours (Å) after each atom.
Space group Cmmm (No. 65)
Asymmetric unit:
Ca1 0.0000 0.0000 0.0000 [2 per cell]  6 S 2.83-2.84
Pu1 0.0000 0.5000 0.0000 [2 per cell]  6 S 2.79-2.80
Pu2 0.2500 0.2500 0.5000 [4 per cell]  6 S 2.82
S1 0.0000 0.2519 0.0000 [4 per cell]  5 Pu 2.79-2.82, 1 Ca 2.84
S2 0.2472 0.5000 0.5000 [4 per cell]  4 Pu 2.80-2.82, 2 Ca 2.83

---

Compound: CaPu2S4
Source: Alexandria
Functional: PBE
Structure: optimized geometry

Results
N(E_F) = 2.366 states/eV/atom
formation energy (no corrections) = -1.768 eV/atom
calculated volume = 24.2 Å³/atom

Cell: 3.9412 13.0047 13.2116 Å, 90.00 90.00 90.00°
With the nearest neighbours (Å) after each atom.
Space group Cmcm (No. 63)
Asymmetric unit:
Ca1 0.0000 0.1132 0.2500 [4 per cell]  6 S 2.78-3.03
Pu1 0.0000 0.3670 0.0685 [8 per cell]  6 S 2.70-2.77
S1 0.0000 0.0000 0.0000 [4 per cell]  4 Pu 2.77
S2 0.0000 0.2711 0.6182 [8 per cell]  3 Pu 2.75-2.77, 2 Ca 3.03
S3 0.0000 0.4619 0.2500 [4 per cell]  2 Pu 2.70, 2 Ca 2.78

---

Compound: Ca2PuScS4
Source: Alexandria
Functional: PBE
Structure: optimized geometry

Results
N(E_F) = 1.316 states/eV/atom
formation energy (no corrections) = -1.920 eV/atom
calculated volume = 21.5 Å³/atom

Cell: 6.7689 3.9134 6.8679 Å, 90.00 109.21 90.00°
With the nearest neighbours (Å) after each atom.
Space group P2/m (No. 10)
Asymmetric unit:
Ca1 0.0000 0.0000 0.0000 [1 per cell]  6 S 2.86
Ca2 0.5000 0.5000 0.0000 [1 per cell]  6 S 2.78
Pu1 0.0000 0.5000 0.5000 [1 per cell]  6 S 2.78-2.79
Sc1 0.5000 0.0000 0.5000 [1 per cell]  6 S 2.70
S1 0.2571 0.0000 0.7420 [2 per cell]  1 Sc 2.70, 2 Pu 2.78, 3 Ca 2.78-2.86
S2 0.2651 0.5000 0.2641 [2 per cell]  2 Sc 2.70, 3 Ca 2.78-2.86, 1 Pu 2.79

---

Compound: CaPuSeS
Source: Alexandria
Functional: PBE
Structure: optimized geometry

Results
N(E_F) = 2.029 states/eV/atom
formation energy (no corrections) = -1.805 eV/atom
calculated volume = 24.4 Å³/atom

Cell: 4.0880 4.0880 20.2287 Å, 90.00 90.00 120.00°
With the nearest neighbours (Å) after each atom.
Space group R3m (No. 160, hexagonal axes)
Asymmetric unit:
Ca1 0.0000 0.0000 0.0000 [3 per cell]  3 S 2.87, 3 Se 2.95
Pu1 0.0000 0.0000 0.5080 [3 per cell]  3 S 2.84, 3 Se 2.95
Se1 0.0000 0.0000 0.7539 [3 per cell]  3 Ca 2.95, 3 Pu 2.95
S1 0.0000 0.0000 0.2528 [3 per cell]  3 Pu 2.84, 3 Ca 2.87

---

Compound: Ca2SmPuS4
Source: Alexandria
Functional: PBE
Structure: optimized geometry

Results
N(E_F) = 1.450 states/eV/atom
formation energy (no corrections) = -1.978 eV/atom
calculated volume = 22.9 Å³/atom

Cell: 6.9246 4.0023 6.9948 Å, 90.00 109.39 90.00°
With the nearest neighbours (Å) after each atom.
Space group P2/m (No. 10)
Asymmetric unit:
Ca1 0.0000 0.0000 0.0000 [1 per cell]  6 S 2.84-2.85
Ca2 0.5000 0.5000 0.0000 [1 per cell]  6 S 2.83-2.84
Sm1 0.0000 0.5000 0.5000 [1 per cell]  6 S 2.84
Pu1 0.5000 0.0000 0.5000 [1 per cell]  6 S 2.83-2.84
S1 0.2504 0.0000 0.7508 [2 per cell]  3 Ca 2.83-2.84, 2 Sm 2.84, 1 Pu 2.84
S2 0.2517 0.5000 0.2513 [2 per cell]  2 Pu 2.83, 3 Ca 2.84-2.85, 1 Sm 2.84

---

Compound: CaSm2PuS4
Source: Alexandria
Functional: PBE
Structure: optimized geometry

Results
N(E_F) = 1.306 states/eV/atom
formation energy (no corrections) = -1.978 eV/atom
calculated volume = 22.7 Å³/atom

Cell: 6.9373 3.9912 6.9426 Å, 90.00 109.42 90.00°
With the nearest neighbours (Å) after each atom.
Space group P2/m (No. 10)
Asymmetric unit:
Ca1 0.0000 0.0000 0.0000 [1 per cell]  6 S 2.82
Sm1 0.0000 0.5000 0.5000 [1 per cell]  6 S 2.84-2.85
Sm2 0.5000 0.0000 0.5000 [1 per cell]  6 S 2.84-2.85
Pu1 0.5000 0.5000 0.0000 [1 per cell]  6 S 2.81-2.82
S1 0.2487 0.5000 0.2474 [2 per cell]  2 Ca 2.82, 1 Pu 2.82, 3 Sm 2.84
S2 0.2520 0.0000 0.7543 [2 per cell]  2 Pu 2.81, 1 Ca 2.82, 3 Sm 2.85

---

Compound: CaSmPu2S4
Source: Alexandria
Functional: PBE
Structure: optimized geometry

Results
N(E_F) = 1.861 states/eV/atom
formation energy (no corrections) = -1.903 eV/atom
calculated volume = 22.5 Å³/atom

Cell: 6.9210 3.9859 6.9215 Å, 90.00 109.44 90.00°
With the nearest neighbours (Å) after each atom.
Space group P2/m (No. 10)
Asymmetric unit:
Ca1 0.0000 0.0000 0.0000 [1 per cell]  6 S 2.83
Sm1 0.0000 0.5000 0.5000 [1 per cell]  6 S 2.84
Pu1 0.5000 0.0000 0.5000 [1 per cell]  6 S 2.82
Pu2 0.5000 0.5000 0.0000 [1 per cell]  6 S 2.80-2.81
S1 0.2523 0.5000 0.2502 [2 per cell]  3 Pu 2.81-2.82, 2 Ca 2.83, 1 Sm 2.84
S2 0.2538 0.0000 0.7525 [2 per cell]  3 Pu 2.80-2.82, 1 Ca 2.83, 2 Sm 2.84

---

Compound: CaTbPu2S4
Source: Alexandria
Functional: PBE
Structure: optimized geometry

Results
N(E_F) = 1.842 states/eV/atom
formation energy (no corrections) = -1.902 eV/atom
calculated volume = 22.1 Å³/atom

Cell: 6.8783 3.9635 6.8875 Å, 90.00 109.41 90.00°
With the nearest neighbours (Å) after each atom.
Space group P2/m (No. 10)
Asymmetric unit:
Ca1 0.0000 0.0000 0.0000 [1 per cell]  6 S 2.81
Tb1 0.5000 0.5000 0.0000 [1 per cell]  6 S 2.79-2.80
Pu1 0.0000 0.5000 0.5000 [1 per cell]  6 S 2.82
Pu2 0.5000 0.0000 0.5000 [1 per cell]  6 S 2.80-2.81
S1 0.2522 0.0000 0.7515 [2 per cell]  2 Tb 2.80, 3 Pu 2.81-2.82, 1 Ca 2.81
S2 0.2522 0.5000 0.2494 [2 per cell]  1 Tb 2.79, 3 Pu 2.80-2.82, 2 Ca 2.81

---

Compound: Ca2TbPuS4
Source: Alexandria
Functional: PBE
Structure: optimized geometry

Results
N(E_F) = 1.424 states/eV/atom
formation energy (no corrections) = -1.980 eV/atom
calculated volume = 22.5 Å³/atom

Cell: 6.8884 3.9786 6.9564 Å, 90.00 109.37 90.00°
With the nearest neighbours (Å) after each atom.
Space group P2/m (No. 10)
Asymmetric unit:
Ca1 0.0000 0.0000 0.0000 [1 per cell]  6 S 2.82-2.83
Ca2 0.5000 0.5000 0.0000 [1 per cell]  6 S 2.84-2.85
Tb1 0.0000 0.5000 0.5000 [1 per cell]  6 S 2.80
Pu1 0.5000 0.0000 0.5000 [1 per cell]  6 S 2.82-2.83
S1 0.2457 0.0000 0.7466 [2 per cell]  2 Tb 2.80, 3 Ca 2.82-2.84, 1 Pu 2.83
S2 0.2490 0.5000 0.2531 [2 per cell]  1 Tb 2.80, 2 Pu 2.82, 3 Ca 2.83-2.85

---

Compound: CaPu2Tl3S6
Source: Alexandria
Functional: PBE
Structure: optimized geometry

Results
N(E_F) = 1.370 states/eV/atom
formation energy (no corrections) = -1.240 eV/atom
calculated volume = 26.8 Å³/atom

Cell: 7.0658 12.2243 7.8052 Å, 90.00 107.47 90.00°
With the nearest neighbours (Å) after each atom.
Space group C2/m (No. 12)
Asymmetric unit:
Ca1 0.0000 0.0000 0.0000 [2 per cell]  6 S 2.85-2.87
Pu1 0.0000 0.3331 0.0000 [4 per cell]  6 S 2.72-2.74
Tl1 0.0000 0.1638 0.5000 [4 per cell]  6 S 3.20-3.29
Tl2 0.0000 0.5000 0.5000 [2 per cell]  6 S 3.20-3.29
S1 0.2165 0.5000 0.1940 [4 per cell]  2 Pu 2.72, 1 Ca 2.85
S2 0.2405 0.1743 0.1986 [8 per cell]  2 Pu 2.73-2.74, 1 Ca 2.87

---

Compound: CaTmPu2S4
Source: Alexandria
Functional: PBE
Structure: optimized geometry

Results
N(E_F) = 1.818 states/eV/atom
formation energy (no corrections) = -1.885 eV/atom
calculated volume = 21.8 Å³/atom

Cell: 6.8338 3.9377 6.8586 Å, 90.00 109.32 90.00°
With the nearest neighbours (Å) after each atom.
Space group P2/m (No. 10)
Asymmetric unit:
Ca1 0.0000 0.0000 0.0000 [1 per cell]  6 S 2.79
Tm1 0.5000 0.5000 0.0000 [1 per cell]  6 S 2.75
Pu1 0.0000 0.5000 0.5000 [1 per cell]  6 S 2.83-2.84
Pu2 0.5000 0.0000 0.5000 [1 per cell]  6 S 2.79
S1 0.2545 0.5000 0.2464 [2 per cell]  1 Tm 2.75, 3 Pu 2.79-2.84, 2 Ca 2.79
S2 0.2572 0.0000 0.7571 [2 per cell]  2 Tm 2.75, 3 Pu 2.79-2.83, 1 Ca 2.79

---

Compound: Ca2TmPuS4
Source: Alexandria
Functional: PBE
Structure: optimized geometry

Results
N(E_F) = 1.369 states/eV/atom
formation energy (no corrections) = -1.964 eV/atom
calculated volume = 22.1 Å³/atom

Cell: 6.8527 3.9529 6.9161 Å, 90.00 109.32 90.00°
With the nearest neighbours (Å) after each atom.
Space group P2/m (No. 10)
Asymmetric unit:
Ca1 0.0000 0.0000 0.0000 [1 per cell]  6 S 2.80-2.81
Ca2 0.5000 0.5000 0.0000 [1 per cell]  6 S 2.85-2.86
Tm1 0.0000 0.5000 0.5000 [1 per cell]  6 S 2.76
Pu1 0.5000 0.0000 0.5000 [1 per cell]  6 S 2.80-2.82
S1 0.2406 0.0000 0.7421 [2 per cell]  2 Tm 2.76, 3 Ca 2.80-2.85, 1 Pu 2.82
S2 0.2460 0.5000 0.2551 [2 per cell]  1 Tm 2.76, 2 Pu 2.80, 3 Ca 2.81-2.86

---

Compound: Ca2YPuS4
Source: Alexandria
Functional: PBE
Structure: optimized geometry

Results
N(E_F) = 1.409 states/eV/atom
formation energy (no corrections) = -1.980 eV/atom
calculated volume = 22.4 Å³/atom

Cell: 6.8830 3.9755 6.9510 Å, 90.00 109.36 90.00°
With the nearest neighbours (Å) after each atom.
Space group P2/m (No. 10)
Asymmetric unit:
Ca1 0.0000 0.0000 0.0000 [1 per cell]  6 S 2.82-2.83
Ca2 0.5000 0.5000 0.0000 [1 per cell]  6 S 2.84-2.85
Y1 0.0000 0.5000 0.5000 [1 per cell]  6 S 2.79-2.80
Pu1 0.5000 0.0000 0.5000 [1 per cell]  6 S 2.81-2.83
S1 0.2452 0.0000 0.7461 [2 per cell]  2 Y 2.79, 3 Ca 2.82-2.84, 1 Pu 2.83
S2 0.2487 0.5000 0.2533 [2 per cell]  1 Y 2.80, 2 Pu 2.81, 3 Ca 2.83-2.85

---

Compound: CaY2PuS4
Source: Alexandria
Functional: PBE
Structure: optimized geometry

Results
N(E_F) = 1.234 states/eV/atom
formation energy (no corrections) = -1.975 eV/atom
calculated volume = 21.9 Å³/atom

Cell: 6.8580 3.9428 6.8598 Å, 90.00 109.39 90.00°
With the nearest neighbours (Å) after each atom.
Space group P2/m (No. 10)
Asymmetric unit:
Ca1 0.0000 0.0000 0.0000 [1 per cell]  6 S 2.81
Y1 0.0000 0.5000 0.5000 [1 per cell]  6 S 2.78
Y2 0.5000 0.0000 0.5000 [1 per cell]  6 S 2.78-2.79
Pu1 0.5000 0.5000 0.0000 [1 per cell]  6 S 2.81-2.82
S1 0.2490 0.0000 0.7467 [2 per cell]  3 Y 2.78-2.79, 2 Pu 2.81, 1 Ca 2.81
S2 0.2507 0.5000 0.2547 [2 per cell]  3 Y 2.78, 2 Ca 2.81, 1 Pu 2.82